# 1
First-principles (SCAN) data for CuIrPt3 at its PBEsol-relaxed geometry, as listed in Alexandria via LeMat-Bulk.

```
5
Lattice="4.4043 0.0000 0.0000 0.0000 4.4043 0.0000 0.0000 0.0000 4.4043" Properties=species:S:1:pos:R:3 pbc="T T T"
Ir 2.2021 2.2021 2.2021
Cu 0.0000 0.0000 0.0000
Pt 0.0000 2.2021 0.0000
Pt 0.0000 0.0000 2.2021
Pt 2.2021 0.0000 0.0000
```

Computed properties:
total magnetization = 0.00 μB per cell
final energy = -57.8513 eV per atom

***

# 2
First-principles (SCAN) data for KAgBr2 at its PBEsol-relaxed geometry, as listed in Alexandria via LeMat-Bulk.

```
4
Lattice="4.0742 0.0000 0.0000 0.0000 4.0345 -0.5605 -2.0371 -1.0337 7.2569" Properties=species:S:1:pos:R:3 pbc="T T T"
K 0.0000 0.3571 6.1742
Ag 0.0000 1.8786 2.4071
Br 0.0000 3.6626 0.4380
Br 2.0371 2.1206 4.0932
```

Computed properties:
ΔE_f (raw) = -4.54 eV/f.u.
total magnetization = 0.00 μB per cell

***

Look up the total magnetization of the first one. 0.00 μB per cell